CoMoC3 | PBE | optimized geometry

The density of states at the Fermi level comes out at 4.63 states/eV/f.u.

The space group is Pm-3m (No. 221) and the conventional cell measures 4.0472, 4.0472 and 4.0472 Å, with angles of 90.00, 90.00 and 90.00 degrees. The inequivalent atoms are Co at (0.0000, 0.0000, 0.0000), Mo at (0.5000, 0.5000, 0.5000) and C at (0.0000, 0.5000, 0.5000).

=====

Co3Mo3C | PBE | optimized geometry

The density of states at the Fermi level comes out at 7.52 states/eV/f.u.

The space group is Fd-3m (No. 227, origin choice 2) and the conventional cell measures 11.0770, 11.0770 and 11.0770 Å, with angles of 90.00, 90.00 and 90.00 degrees. The inequivalent atoms are Co at (0.0000, 0.0000, 0.0000), Co at (0.0451, 0.0451, 0.2049), Mo at (0.0750, 0.3750, 0.8750) and C at (0.0000, 0.0000, 0.5000).

=====

Co6Mo6C | PBE | optimized geometry

The density of states at the Fermi level comes out at 17.04 states/eV/f.u.

The space group is Fd-3m (No. 227, origin choice 2) and the conventional cell measures 10.8989, 10.8989 and 10.8989 Å, with angles of 90.00, 90.00 and 90.00 degrees. The inequivalent atoms are Co at (0.0000, 0.0000, 0.0000), Co at (0.0439, 0.0439, 0.2061), Mo at (0.0726, 0.3750, 0.8750) and C at (0.1250, 0.1250, 0.6250).

=====

CoMoCN2 | PBE | optimized geometry

The density of states at the Fermi level comes out at 6.89 states/eV/f.u. The value obtained for the formation energy without anion corrections is 2.236 eV per atom.

The space group is P4/mmm (No. 123) and the conventional cell measures 3.4702, 3.4702 and 4.1347 Å, with angles of 90.00, 90.00 and 90.00 degrees. The inequivalent atoms are Co at (0.0000, 0.0000, 0.0000), Mo at (0.5000, 0.5000, 0.0000), C at (0.5000, 0.5000, 0.5000) and N at (0.0000, 0.5000, 0.5000).

=====

Na2CoMoC | PBE | optimized geometry

The density of states at the Fermi level comes out at 2.56 states/eV/f.u.

The space group is P4/mmm (No. 123) and the conventional cell measures 4.8601, 4.8601 and 3.6151 Å, with angles of 90.00, 90.00 and 90.00 degrees. The inequivalent atoms are Na at (0.0000, 0.5000, 0.0000), Co at (0.0000, 0.0000, 0.5000), Mo at (0.5000, 0.5000, 0.5000) and C at (0.0000, 0.0000, 0.0000).

=====

Co2MoPdC | PBE | optimized geometry

The density of states at the Fermi level comes out at 6.79 states/eV/f.u.

The space group is P4/mmm (No. 123) and the conventional cell measures 4.5140, 4.5140 and 4.8369 Å, with angles of 90.00, 90.00 and 90.00 degrees. The inequivalent atoms are Co at (0.0000, 0.5000, 0.0000), Mo at (0.0000, 0.0000, 0.5000), Pd at (0.0000, 0.0000, 0.0000) and C at (0.5000, 0.5000, 0.5000).

=====

It is found that the VASP energy values, taken in the order of the records, are -6.891 -9.043 -9.046 -6.526 -4.679 -5.112 eV per atom.